Run a
A relaxed structure of Ni2Ge2Sb. Source: the Alexandria database, functional PBE.

a = 6.2830 Å, b = 6.2830 Å, c = 6.2830 Å
α = 144.97°, β = 144.97°, γ = 50.38°
Fractional positions:
Ni 0.1114 0.1114 0.0000
Ni 0.8886 0.8886 0.0000
Ge 0.2500 0.7500 0.5000
Ge 0.7500 0.2500 0.5000
Sb 0.5000 0.5000 0.0000

=====

Run b
A relaxed structure of Ni2Ge2Sb. Source: the Alexandria database, functional PBE.

a = 5.5957 Å, b = 5.5957 Å, c = 5.5957 Å
α = 135.87°, β = 135.87°, γ = 64.18°
Fractional positions:
Ni 0.2500 0.7500 0.5000
Ni 0.7500 0.2500 0.5000
Ge 0.1304 0.1304 0.0000
Ge 0.8696 0.8696 0.0000
Sb 0.5000 0.5000 0.0000

=====

run a is favored, and the nearest alternative lies 18 meV/atom above it.